Computed, not measured: a geometry-optimized BeSb4 structure at the PBE level of DFT.

## Properties
Total magnetization in μB per formula unit: 0.0
E_form (uncorrected) in eV per atom: 0.3082
Offset from the most stable computed form in meV/atom: 0
Density of states at the Fermi level in states/eV/cell: 2.70
E in hartree per atom: -0.1373

Unit cell a=6.4088 b=6.4088 c=6.4088 alpha=90.00 beta=90.00 gamma=90.00
With the nearest neighbours (Å) after each atom.
Space group Im-3m (No. 229)
One atom of each set of equivalent atoms:
1 Be 0.0000 0.0000 0.0000 [2 per cell]  8 Sb 2.78
2 Sb 0.2500 0.2500 0.2500 [8 per cell]  2 Be 2.78